## Li2ZnSi2 (PBE)

Data for crystalline Li2ZnSi2 at its relaxed geometry.

Unit cell a=7.214 b=7.214 c=2.944 alpha=90.00 beta=90.00 gamma=90.00
Fractional positions:
1 Li 0.186 0.314 0.000
2 Li 0.314 0.814 0.000
3 Li 0.686 0.186 0.000
4 Li 0.814 0.686 0.000
5 Zn 0.000 0.000 0.500
6 Zn 0.500 0.500 0.500
7 Si 0.115 0.615 0.500
8 Si 0.385 0.115 0.500
9 Si 0.615 0.885 0.500
10 Si 0.885 0.385 0.500

## Properties
Formation energy from raw total energies   0.00 eV/atom
Space-group type   P4/mbm, No. 127